No. 1
Compound: AlCo2Ge2
Source: Alexandria
Functional: PBE
Structure: optimized geometry

Cell and atoms, written as POSCAR:
```
AlCo2Ge2
1.0
7.144 0.000 0.000
0.000 7.144 0.000
0.000 0.000 2.661
Al Co Ge
2 4 4
direct
0.000 0.000 0.000
0.500 0.500 0.000
0.146 0.354 0.500
0.354 0.854 0.500
0.646 0.146 0.500
0.854 0.646 0.500
0.147 0.647 0.000
0.353 0.147 0.000
0.647 0.853 0.000
0.853 0.353 0.000
```

Properties
Symmetry: P4/mbm

=====

No. 2
Compound: SmMg15Tl4
Source: Alexandria
Functional: PBE
Structure: optimized geometry

Cell and atoms, written as POSCAR:
```
SmMg15Tl4
1.0
4.807 0.000 0.000
0.000 4.807 0.000
0.000 0.000 20.661
Sm Mg Tl
1 15 4
direct
0.000 0.000 0.000
0.000 0.500 0.108
0.000 0.500 0.305
0.000 0.500 0.500
0.000 0.500 0.695
0.000 0.500 0.892
0.500 0.000 0.108
0.500 0.000 0.305
0.500 0.000 0.500
0.500 0.000 0.695
0.500 0.000 0.892
0.500 0.500 0.000
0.500 0.500 0.209
0.500 0.500 0.401
0.500 0.500 0.599
0.500 0.500 0.791
0.000 0.000 0.204
0.000 0.000 0.404
0.000 0.000 0.596
0.000 0.000 0.796
```

Properties
Symmetry: P4/mmm

=====

No. 3
Compound: Hg2SbOs
Source: Alexandria
Functional: PBE
Structure: optimized geometry

Cell and atoms, written as POSCAR:
```
Hg2SbOs
1.0
4.063 0.000 0.000
0.000 4.063 0.000
0.000 0.000 4.970
Hg Sb Os
2 1 1
direct
0.000 0.500 0.000
0.500 0.000 0.000
0.000 0.000 0.500
0.500 0.500 0.500
```

Properties
Formation energy without anion corrections, eV/atom: 0.841
Symmetry: P4/mmm

=====

No. 4
Compound: KBa3Au2
Source: Alexandria
Functional: PBE
Structure: optimized geometry

Cell and atoms, written as POSCAR:
```
KBa3Au2
1.0
8.785 0.000 0.000
-4.393 7.608 0.000
0.000 0.000 4.389
K Ba Au
1 3 2
direct
0.000 0.000 0.000
0.000 0.500 0.500
0.500 0.000 0.500
0.500 0.500 0.500
0.333 0.667 0.000
0.667 0.333 0.000
```

Properties
Offset from the most stable computed form, meV/atom: 0.0
Symmetry: P6/mmm

=====

No. 5
Compound: La3AgIr
Source: Alexandria
Functional: PBE
Structure: optimized geometry

Cell and atoms, written as POSCAR:
```
La3AgIr
1.0
5.930 0.000 0.000
-2.911 6.320 0.000
-1.900 -2.549 7.923
La Ag Ir
6 2 2
direct
0.063 0.202 0.321
0.299 0.840 0.126
0.335 0.460 0.766
0.665 0.540 0.234
0.701 0.160 0.874
0.937 0.798 0.679
0.359 0.761 0.489
0.641 0.239 0.511
0.241 0.168 0.973
0.759 0.832 0.027
```

Properties
Offset from the most stable computed form, meV/atom: 30.1
Symmetry: P-1

=====

No. 6
Compound: FeMoRu2
Source: Alexandria
Functional: PBE
Structure: optimized geometry

Cell and atoms, written as POSCAR:
```
FeMoRu2
1.0
-1.929 1.929 3.719
1.929 -1.929 3.719
1.929 1.929 -3.719
Fe Mo Ru
1 1 2
direct
0.000 0.000 0.000
0.500 0.500 0.000
0.250 0.750 0.500
0.750 0.250 0.500
```

Properties
Offset from the most stable computed form, meV/atom: 39.0
Symmetry: I4/mmm

=====

Number 1: calculated total energy -5.43 eV/atom, M_tot 0.0000 μB/atom. Number 2: calculated total energy -1.94 eV/atom, M_tot 0.0000 μB/atom. Number 3: calculated total energy -3.15 eV/atom, M_tot 0.0001 μB/atom. Number 4: calculated total energy -2.69 eV/atom, M_tot 0.0000 μB/atom. Number 5: calculated total energy -5.75 eV/atom, M_tot 0.0000 μB/atom. Number 6: calculated total energy -9.38 eV/atom, M_tot 0.4082 μB/atom.